# 1
This record from the Alexandria database describes a relaxed SbOsOF2 crystal. The functional is GGA-PBE.

Lattice parameters (Å, degrees): 4.5518 4.5518 4.2296 90.00 90.00 90.00
Sites, in units of the cell vectors:
1 Sb 0.0000 0.0000 0.0000
2 Os 0.5000 0.5000 0.5000
3 O 0.0000 0.0000 0.5000
4 F 0.0000 0.5000 0.0000
5 F 0.5000 0.0000 0.0000

Output
* symmetry: P4/mmm, No. 123
* E_tot: -4.742 eV per atom
* excess energy over the best structure of this formula in the dataset: 485.3 meV per atom
* DOS at the Fermi energy: 5.54 states/eV per cell
* ΔE_f (raw): 0.07 eV per atom



# 2
This record from the Alexandria database describes a relaxed Sb2OsO2F14 crystal. The functional is GGA-PBE.

Lattice parameters (Å, degrees): 7.7009 9.1778 10.3323 97.33 110.75 110.16
Sites, in units of the cell vectors:
1 Sb 0.0558 0.1560 0.3212
2 Sb 0.4029 0.6988 0.8615
3 Sb 0.5971 0.3012 0.1385
4 Sb 0.9442 0.8440 0.6788
5 Os 0.3260 0.7375 0.2476
6 Os 0.6740 0.2625 0.7524
7 O 0.2699 0.7236 0.3907
8 O 0.4988 0.9343 0.2991
9 O 0.5012 0.0657 0.7009
10 O 0.7301 0.2764 0.6093
11 F 0.0191 0.8126 0.5245
12 F 0.0942 0.1352 0.1500
13 F 0.1096 0.7782 0.1355
14 F 0.1512 0.0595 0.7533
15 F 0.1591 0.5232 0.1293
16 F 0.1800 0.7795 0.7971
17 F 0.1843 0.4931 0.8051
18 F 0.2282 0.3813 0.3831
19 F 0.2688 0.0953 0.4213
20 F 0.3813 0.7381 0.0499
21 F 0.3930 0.3730 0.0559
22 F 0.3971 0.6734 0.6755
23 F 0.4133 0.0805 0.0745
24 F 0.4720 0.3381 0.7041
25 F 0.5280 0.6619 0.2959
26 F 0.5867 0.9195 0.9255
27 F 0.6029 0.3266 0.3245
28 F 0.6070 0.6270 0.9441
29 F 0.6187 0.2619 0.9501
30 F 0.7312 0.9047 0.5787
31 F 0.7718 0.6187 0.6169
32 F 0.8157 0.5069 0.1949
33 F 0.8200 0.2205 0.2029
34 F 0.8409 0.4768 0.8707
35 F 0.8488 0.9405 0.2467
36 F 0.8904 0.2218 0.8645
37 F 0.9058 0.8648 0.8500
38 F 0.9809 0.1874 0.4755

Output
* symmetry: P-1, No. 2
* E_tot: -4.863 eV per atom
* ΔE_f (raw): -1.94 eV per atom



# 3
This record from the Alexandria database describes a relaxed ScOsO2F crystal. The functional is GGA-PBE.

Lattice parameters (Å, degrees): 3.8506 3.8506 4.5549 90.00 90.00 90.00
Sites, in units of the cell vectors:
1 Sc 0.0000 0.0000 0.0000
2 Os 0.5000 0.5000 0.5000
3 O 0.0000 0.5000 0.5000
4 O 0.5000 0.0000 0.5000
5 F 0.5000 0.5000 0.0000

Output
* symmetry: P4/mmm, No. 123
* E_tot: -6.827 eV per atom
* DOS at the Fermi energy: 5.43 states/eV per cell
* ΔE_f (raw): -0.96 eV per atom



# 4
This record from the Alexandria database describes a relaxed ScOsO2F crystal. The functional is GGA-PBE.

Lattice parameters (Å, degrees): 4.1347 4.1347 3.9336 90.00 90.00 90.00
Sites, in units of the cell vectors:
1 Sc 0.0000 0.0000 0.0000
2 Os 0.5000 0.5000 0.5000
3 O 0.0000 0.5000 0.0000
4 O 0.5000 0.0000 0.0000
5 F 0.0000 0.0000 0.5000

Output
* symmetry: P4/mmm, No. 123
* E_tot: -6.890 eV per atom
* DOS at the Fermi energy: 3.07 states/eV per cell
* ΔE_f (raw): -1.02 eV per atom



# 5
This record from the Alexandria database describes a relaxed OsSeO2F crystal. The functional is GGA-PBE.

Lattice parameters (Å, degrees): 3.9143 3.9143 4.5676 90.00 90.00 90.00
Sites, in units of the cell vectors:
1 Os 0.0000 0.0000 0.0000
2 Se 0.5000 0.5000 0.5000
3 O 0.0000 0.5000 0.5000
4 O 0.5000 0.0000 0.5000
5 F 0.5000 0.5000 0.0000

Output
* symmetry: P4/mmm, No. 123
* E_tot: -4.501 eV per atom
* DOS at the Fermi energy: 3.33 states/eV per cell
* ΔE_f (raw): 0.80 eV per atom



# 6
This record from the Alexandria database describes a relaxed OsSeO2F crystal. The functional is GGA-PBE.

Lattice parameters (Å, degrees): 3.7537 3.7537 5.2140 90.00 90.00 90.00
Sites, in units of the cell vectors:
1 Os 0.0000 0.0000 0.0000
2 Se 0.5000 0.5000 0.5000
3 O 0.0000 0.5000 0.0000
4 O 0.5000 0.0000 0.0000
5 F 0.0000 0.0000 0.5000

Output
* symmetry: P4/mmm, No. 123
* E_tot: -5.527 eV per atom
* DOS at the Fermi energy: 3.97 states/eV per cell
* ΔE_f (raw): -0.23 eV per atom



# 7
This record from the Alexandria database describes a relaxed SiOs2OF crystal. The functional is GGA-PBE.

Lattice parameters (Å, degrees): 4.0692 4.0692 4.0803 90.00 90.00 90.00
Sites, in units of the cell vectors:
1 Si 0.0000 0.0000 0.0000
2 Os 0.0000 0.5000 0.5000
3 Os 0.5000 0.0000 0.5000
4 O 0.5000 0.5000 0.0000
5 F 0.5000 0.5000 0.5000

Output
* symmetry: P4/mmm, No. 123
* E_tot: -5.463 eV per atom
* DOS at the Fermi energy: 4.58 states/eV per cell
* ΔE_f (raw): 1.48 eV per atom



# 8
This record from the Alexandria database describes a relaxed SnOsOF2 crystal. The functional is GGA-PBE.

Lattice parameters (Å, degrees): 4.5322 4.5322 4.0886 90.00 90.00 90.00
Sites, in units of the cell vectors:
1 Sn 0.0000 0.0000 0.0000
2 Os 0.5000 0.5000 0.5000
3 O 0.0000 0.0000 0.5000
4 F 0.0000 0.5000 0.0000
5 F 0.5000 0.0000 0.0000

Output
* symmetry: P4/mmm, No. 123
* E_tot: -4.836 eV per atom
* excess energy over the best structure of this formula in the dataset: 649.3 meV per atom
* DOS at the Fermi energy: 3.17 states/eV per cell
* ΔE_f (raw): -0.05 eV per atom



Question: ΔE_f (raw) of number 6 (OsSeO2F)?
Answer: -0.23 eV per atom